(1)
First-principles (PBE-GGA) data for Pr4GaSeBr2 after structural relaxation, as listed in Alexandria.

Summary:
**Raw total energy**: -4.862 eV/atom
**Size of the total moment**: 0.0 Bohr magnetons per cell
**E_form (uncorrected)**: -1.240 eV per atom

Lattice parameters (Å, degrees): 7.411 4.349 7.760 90.00 109.28 90.00
Fractional positions:
1 Pr 0.235 0.000 0.217
2 Pr 0.257 0.500 0.786
3 Pr 0.743 0.500 0.214
4 Pr 0.765 0.000 0.783
5 Ga 0.000 0.500 0.000
6 Se 0.500 0.000 0.000
7 Br 0.000 0.000 0.500
8 Br 0.500 0.500 0.500

(2)
First-principles (PBE-GGA) data for Pr8GaSi3Br4 after structural relaxation, as listed in Alexandria.

Summary:
**Raw total energy**: -5.050 eV/atom
**Size of the total moment**: 0.0 Bohr magnetons per cell
**E_form (uncorrected)**: -1.036 eV per atom

Lattice parameters (Å, degrees): 8.883 8.883 8.883 58.29 58.29 58.29
Fractional positions:
1 Pr 0.237 0.739 0.739
2 Pr 0.238 0.238 0.238
3 Pr 0.261 0.261 0.763
4 Pr 0.261 0.763 0.261
5 Pr 0.739 0.237 0.739
6 Pr 0.739 0.739 0.237
7 Pr 0.762 0.762 0.762
8 Pr 0.763 0.261 0.261
9 Ga 0.500 0.500 0.500
10 Si 0.000 0.000 0.500
11 Si 0.000 0.500 0.000
12 Si 0.500 0.000 0.000
13 Br 0.000 0.000 0.000
14 Br 0.000 0.500 0.500
15 Br 0.500 0.000 0.500
16 Br 0.500 0.500 0.000

(3)
First-principles (PBE-GGA) data for Pr6GaSi2Br3 after structural relaxation, as listed in Alexandria.

Summary:
**Raw total energy**: -4.985 eV/atom
**Size of the total moment**: 0.0 Bohr magnetons per cell
**E_form (uncorrected)**: -1.021 eV per atom

Lattice parameters (Å, degrees): 9.894 9.894 8.910 104.84 104.84 25.13
Fractional positions:
1 Pr 0.008 0.008 0.237
2 Pr 0.324 0.324 0.437
3 Pr 0.340 0.340 0.895
4 Pr 0.660 0.660 0.105
5 Pr 0.676 0.676 0.563
6 Pr 0.992 0.992 0.763
7 Ga 0.500 0.500 0.000
8 Si 0.167 0.167 0.334
9 Si 0.833 0.833 0.666
10 Br 0.167 0.167 0.833
11 Br 0.500 0.500 0.500
12 Br 0.833 0.833 0.167

(4)
First-principles (PBE-GGA) data for Pr8Ga3SiBr4 after structural relaxation, as listed in Alexandria.

Summary:
**Raw total energy**: -4.664 eV/atom
**Size of the total moment**: 0.0 Bohr magnetons per cell
**E_form (uncorrected)**: -0.949 eV per atom

Lattice parameters (Å, degrees): 8.831 8.831 8.831 58.97 58.97 58.97
Fractional positions:
1 Pr 0.242 0.242 0.242
2 Pr 0.244 0.739 0.739
3 Pr 0.261 0.261 0.756
4 Pr 0.261 0.756 0.261
5 Pr 0.739 0.244 0.739
6 Pr 0.739 0.739 0.244
7 Pr 0.756 0.261 0.261
8 Pr 0.758 0.758 0.758
9 Ga 0.000 0.000 0.500
10 Ga 0.000 0.500 0.000
11 Ga 0.500 0.000 0.000
12 Si 0.500 0.500 0.500
13 Br 0.000 0.000 0.000
14 Br 0.000 0.500 0.500
15 Br 0.500 0.000 0.500
16 Br 0.500 0.500 0.000

Look up the raw total energy of the second one. -5.050 eV/atom